Below is crystalline Tl2TeMoO8 at its relaxed geometry, with properties calculated at the GGA+U level.

For the density of states at the Fermi level, the calculation gives 1.121 states/eV/f.u. As for the total energy: -5.555 eV per atom.

The structure belongs to space group P2/m (No. 10); the cell edges are 5.041, 6.527 and 5.050 Å and the angles 90.00°, 93.01° and 90.00°. Symmetry generates all atoms from Tl at (0.000, 0.250, 0.000), Te at (0.500, 0.000, 0.500), Mo at (0.500, 0.500, 0.500), O at (0.216, 0.500, 0.214), O at (0.219, 0.000, 0.216) and O at (0.326, 0.236, 0.672).